DFT (PBE) results for LiPr2Al2Pt5 after structural relaxation.

The formation energy from the elements comes out at -839.5 meV/atom. The density of states at the Fermi level is 5.519 states/eV/f.u. The crystal system is tetragonal. Its space-group type is P4/mbm.

Cell and atoms, written as POSCAR:
```
LiPr2Al2Pt5
1.0
-2.187 1.377 2.190
-5.796 -8.682 -0.328
5.480 -3.960 7.961
Pt Li Pr Al
10 2 4 4
Direct
0.500 0.439 0.300
0.500 0.500 0.000
0.500 0.000 0.500
0.500 0.200 0.061
0.500 0.939 0.200
0.500 0.800 0.939
0.500 0.561 0.700
0.500 0.300 0.561
0.500 0.061 0.800
0.500 0.700 0.439
0.000 0.000 0.000
0.000 0.500 0.500
0.000 0.675 0.175
0.000 0.175 0.325
0.000 0.325 0.825
0.000 0.825 0.675
0.000 0.127 0.627
0.000 0.873 0.373
0.000 0.373 0.127
0.000 0.627 0.873
```